1.
TeSF2 | PBE | optimized geometry

Computed properties:
DOS(E_F) = 0.000 states/eV per atom
uncorrected formation energy = -1.200 eV per atom
excess energy over the best structure of this formula in the dataset = 0 meV/atom
SG = Pnna
spin magnetization = 0.000 μB/f.u.

Cell: 7.292 5.737 9.401 Å, 90.00 90.00 90.00°
Atoms (fractional coordinates):
Te 0.250 0.000 0.090
Te 0.250 0.500 0.410
Te 0.750 0.000 0.910
Te 0.750 0.500 0.590
S 0.074 0.250 0.250
S 0.426 0.750 0.250
S 0.574 0.250 0.750
S 0.926 0.750 0.750
F 0.017 0.693 0.397
F 0.017 0.807 0.103
F 0.483 0.193 0.103
F 0.483 0.307 0.397
F 0.517 0.693 0.603
F 0.517 0.807 0.897
F 0.983 0.193 0.897
F 0.983 0.307 0.603

---

2.
TeSF2 | PBE | optimized geometry

Computed properties:
DOS(E_F) = 0.053 states/eV per atom
uncorrected formation energy = -0.374 eV per atom
excess energy over the best structure of this formula in the dataset = 826 meV/atom
SG = Fm-3m
spin magnetization = 0.000 μB/f.u.

Cell: 6.102 6.102 6.102 Å, 90.00 90.00 90.00°
Atoms (fractional coordinates):
Te 0.000 0.000 0.000
Te 0.000 0.500 0.500
Te 0.500 0.000 0.500
Te 0.500 0.500 0.000
S 0.000 0.000 0.500
S 0.000 0.500 0.000
S 0.500 0.000 0.000
S 0.500 0.500 0.500
F 0.250 0.250 0.250
F 0.250 0.250 0.750
F 0.250 0.750 0.250
F 0.250 0.750 0.750
F 0.750 0.250 0.250
F 0.750 0.250 0.750
F 0.750 0.750 0.250
F 0.750 0.750 0.750

---

3.
TeSF3 | PBE | optimized geometry

Computed properties:
DOS(E_F) = 0.458 states/eV per atom
uncorrected formation energy = -0.715 eV per atom
excess energy over the best structure of this formula in the dataset = 0 meV/atom
SG = Pm-3m
spin magnetization = 1.307 μB/f.u.

Cell: 4.439 4.439 4.439 Å, 90.00 90.00 90.00°
Atoms (fractional coordinates):
Te 0.000 0.000 0.000
S 0.500 0.500 0.500
F 0.000 0.000 0.500
F 0.000 0.500 0.000
F 0.500 0.000 0.000